Entry from Alexandria via LeMat-Bulk: an optimized crystal structure of Nd5SmN6 (PBE-GGA).

```
12
Lattice="3.1540 -5.4637 0.0000 3.1540 5.4637 0.0000 -2.1028 0.0000 5.9474" Properties=species:S:1:pos:R:3 pbc="T T T"
Nd 0.0000 0.0000 0.0000
Nd 2.1026 3.6416 2.9737
Nd 3.1540 1.8166 0.0000
Nd 3.1540 -1.8166 0.0000
Nd 2.1026 -3.6416 2.9737
Sm 2.1026 0.0000 2.9737
N 1.0597 1.8070 1.4956
N 0.0160 0.0000 4.4542
N 1.0597 -1.8070 1.4956
N 3.1455 1.8070 4.4518
N 4.1892 0.0000 1.4932
N 3.1455 -1.8070 4.4518
```

- Energy relative to the elements, uncorrected: -16.55 eV per formula unit
- SG: C2/m (12)

Entry from Alexandria via LeMat-Bulk: an optimized crystal structure of Nd4SmN5 (PBE-GGA).

```
10
Lattice="-4.0615 4.0615 2.5866 4.0615 -4.0615 2.5866 4.0615 4.0615 -2.5866" Properties=species:S:1:pos:R:3 pbc="T T T"
Nd 5.6903 0.8150 0.0000
Nd 0.8150 2.4328 0.0000
Nd 3.2465 1.6288 2.5866
Nd -1.6288 3.2465 2.5866
Sm 0.0000 0.0000 2.5798
N 0.0000 0.0000 0.1059
N 3.2559 1.6455 0.0818
N 2.4160 -0.8056 2.6683
N 1.6455 4.8672 0.0818
N 0.8056 2.4160 2.6683
```

- Energy relative to the elements, uncorrected: -13.84 eV per formula unit
- SG: I4 (79)

Entry from Alexandria via LeMat-Bulk: an optimized crystal structure of NdSm3N4 (PBE-GGA).

```
8
Lattice="5.0975 0.0000 0.0000 0.0000 5.0975 0.0000 0.0000 0.0000 5.0975" Properties=species:S:1:pos:R:3 pbc="T T T"
Nd 0.0000 0.0000 0.0000
Sm 0.0000 2.5487 2.5487
Sm 2.5487 0.0000 2.5487
Sm 2.5487 2.5487 0.0000
N 0.0000 0.0000 2.5487
N 0.0000 2.5487 0.0000
N 2.5487 0.0000 0.0000
N 2.5487 2.5487 2.5487
```

- Energy relative to the elements, uncorrected: -11.58 eV per formula unit
- SG: Pm-3m (221)

Entry from Alexandria via LeMat-Bulk: an optimized crystal structure of Nd2Sm2N3 (PBE-GGA).

```
7
Lattice="6.1033 -1.8154 0.0000 6.1033 1.8154 0.0000 -1.2733 0.0000 6.1905" Properties=species:S:1:pos:R:3 pbc="T T T"
Nd 1.0266 0.0000 2.3677
Nd 9.9066 0.0000 3.8227
Sm 4.2541 0.0000 0.8745
Sm 6.6791 0.0000 5.3160
N 2.0184 0.0000 4.6664
N 5.4666 0.0000 3.0952
N 8.9148 0.0000 1.5240
```

- Energy relative to the elements, uncorrected: -8.52 eV per formula unit
- E above lowest polymorph: 0.0 meV/atom
- SG: C2/m (12)

Entry from Alexandria via LeMat-Bulk: an optimized crystal structure of NdSm4N4 (PBE-GGA).

```
9
Lattice="-2.9569 2.9569 5.5080 2.9569 -2.9569 5.5080 2.9569 2.9569 -5.5080" Properties=species:S:1:pos:R:3 pbc="T T T"
Nd 0.0000 0.0000 0.0000
Sm 2.9569 0.0000 0.0000
Sm 0.0000 0.0000 3.1651
Sm 0.0000 2.9569 0.0000
Sm 0.0000 0.0000 7.8509
N 1.5204 -1.5204 4.2052
N 1.4365 1.4365 1.3028
N -1.5204 1.5204 4.2052
N 1.5204 1.5204 6.8108
```

- Energy relative to the elements, uncorrected: -6.18 eV per formula unit
- E above lowest polymorph: 609.9 meV/atom
- SG: I-42m (121)

Entry from Alexandria via LeMat-Bulk: an optimized crystal structure of NdSm4N4 (PBE-GGA).

```
9
Lattice="-4.0534 4.0534 2.5397 4.0534 -4.0534 2.5397 4.0534 4.0534 -2.5397" Properties=species:S:1:pos:R:3 pbc="T T T"
Nd 0.0000 0.0000 0.0000
Sm 4.9456 1.5049 0.0000
Sm 1.5049 3.1613 0.0000
Sm 2.5485 0.8921 2.5397
Sm -0.8921 2.5485 2.5397
N 2.4367 0.7932 0.0000
N 3.2602 -1.6167 2.5397
N 0.7932 5.6701 0.0000
N 1.6167 3.2602 2.5397
```

- Energy relative to the elements, uncorrected: -11.67 eV per formula unit
- E above lowest polymorph: 0.0 meV/atom
- SG: I4/m (87)

Entry from Alexandria via LeMat-Bulk: an optimized crystal structure of Nd3SmN (PBE-GGA).

```
5
Lattice="5.1614 0.0000 0.0000 0.0000 5.1614 0.0000 0.0000 0.0000 5.1614" Properties=species:S:1:pos:R:3 pbc="T T T"
Nd 0.0000 0.0000 2.5807
Nd 0.0000 2.5807 0.0000
Nd 2.5807 0.0000 0.0000
Sm 2.5807 2.5807 2.5807
N 0.0000 0.0000 0.0000
```

- Energy relative to the elements, uncorrected: -2.16 eV per formula unit
- SG: Pm-3m (221)

Entry from Alexandria via LeMat-Bulk: an optimized crystal structure of NdSm8N6 (PBE-GGA).

```
15
Lattice="3.1278 1.8058 9.1227 -3.1278 1.8058 9.1227 0.0000 -3.6117 9.1227" Properties=species:S:1:pos:R:3 pbc="T T T"
Nd 0.0000 0.0000 0.0000
Sm -1.0418 -1.8071 11.9314
Sm -2.0859 -0.0013 15.4368
Sm 0.0000 0.0000 9.1227
Sm -1.0440 1.8058 11.9313
Sm 1.0440 -1.8058 15.4368
Sm 0.0000 0.0000 18.2454
Sm 2.0859 0.0013 11.9313
Sm 1.0418 1.8071 15.4368
N -2.0756 -0.0165 10.6860
N -1.0235 -1.8058 16.6822
N 1.0521 -1.7893 10.6860
N -1.0521 1.7893 16.6822
N 1.0235 1.8058 10.6860
N 2.0756 0.0165 16.6822
```

- Energy relative to the elements, uncorrected: -17.62 eV per formula unit
- SG: R-3 (148)